# As2RhAu

A relaxed As2RhAu crystal (PBE, Alexandria).

Output
total magnetic moment	0.0	Bohr magnetons per cell
ρ	10.65	g cm⁻³
energy of formation from the pure elements	-0.0293	eV/atom

a b c (Å): 3.1854 3.1854 23.9406
angles (deg): 90.00 90.00 120.00
Closest atoms and distances in Å follow each position.
Space group R-3m (No. 166, hexagonal axes)
Asymmetric unit:
As: 0.0000 0.0000 0.2419  3 Rh 2.57, 3 Au 2.86
Rh: 0.0000 0.0000 0.5000  6 As 2.57
Au: 0.0000 0.0000 0.0000  6 As 2.86, 6 Au 3.19